# 1
A relaxed structure of Cs2LiUI6, computed with PBE.

Cell: 15.282 15.282 15.282 Å, 32.77 32.77 32.77°
Fractional positions:
Cs (0.123, 0.123, 0.123)
Cs (0.293, 0.293, 0.293)
Cs (0.707, 0.707, 0.707)
Cs (0.877, 0.877, 0.877)
Li (0.000, 0.000, 0.000)
Li (0.500, 0.500, 0.500)
U (0.415, 0.415, 0.415)
U (0.585, 0.585, 0.585)
I (0.128, 0.624, 0.624)
I (0.203, 0.203, 0.715)
I (0.203, 0.715, 0.203)
I (0.285, 0.797, 0.797)
I (0.376, 0.376, 0.872)
I (0.376, 0.872, 0.376)
I (0.624, 0.128, 0.624)
I (0.624, 0.624, 0.128)
I (0.715, 0.203, 0.203)
I (0.797, 0.285, 0.797)
I (0.797, 0.797, 0.285)
I (0.872, 0.376, 0.376)

Values from the calculation:
Formation energy (no corrections), eV/atom: -1.20
Size of the total moment, Bohr magnetons per cell: 6.000

# 2
A relaxed structure of Hf2ZnAs, computed with PBE.

Cell: 7.094 7.094 7.094 Å, 29.99 29.99 29.99°
Fractional positions:
Hf (0.247, 0.247, 0.247)
Hf (0.753, 0.753, 0.753)
Zn (0.000, 0.000, 0.000)
As (0.500, 0.500, 0.500)

Values from the calculation:
Energy of formation from the pure elements, meV/atom: -474.2
Size of the total moment, Bohr magnetons per cell: 0.000

# 3
A relaxed structure of AlHgCl, computed with PBE.

Cell: 4.929 4.929 4.929 Å, 60.00 60.00 60.00°
Fractional positions:
Al (0.000, 0.000, 0.000)
Hg (0.750, 0.750, 0.750)
Cl (0.250, 0.250, 0.250)

Values from the calculation:
E above lowest polymorph, meV/atom: 102
Formation energy (no corrections), eV/atom: -0.19
Size of the total moment, Bohr magnetons per cell: 0.000

# 4
A relaxed structure of PPdWCl2, computed with PBE.

Cell: 4.713 4.713 4.800 Å, 90.00 90.00 90.00°
Fractional positions:
P (0.000, 0.000, 0.000)
Pd (0.500, 0.500, 0.000)
W (0.000, 0.000, 0.500)
Cl (0.000, 0.500, 0.500)
Cl (0.500, 0.000, 0.500)

Values from the calculation:
E above lowest polymorph, meV/atom: 0
Formation energy (no corrections), eV/atom: 0.48
Size of the total moment, Bohr magnetons per cell: 0.123

Q: What is the formula in the third record?
A: AlHgCl